Record 1
First-principles (GGA-PBE) data for an optimized crystal structure of Cd3Pb4, as listed in Alexandria.

Calculated values
symmetry = C2/m (12)
mass density = 9412 kg/m3
DFT formation energy = 66.9 meV/atom
DFT total energy = -2.44 eV per atom
total magnetic moment = 0.00 μB per formula unit

Unit cell a=5.223 b=5.223 c=9.299 alpha=104.33 beta=104.33 gamma=57.73
Positions (direct):
Cd  0.000  0.000  0.000
Cd  0.167  0.167  0.508
Cd  0.833  0.833  0.492
Pb  0.289  0.289  0.878
Pb  0.440  0.440  0.306
Pb  0.560  0.560  0.694
Pb  0.711  0.711  0.122


Record 2
First-principles (GGA-PBE) data for an optimized crystal structure of Cd5Pb3, as listed in Alexandria.

Calculated values
symmetry = P4/mmm (123)
mass density = 9307 kg/m3
DFT formation energy = 34.7 meV/atom
DFT total energy = -1.93 eV per atom
total magnetic moment = 0.00 μB per formula unit
distance to the lowest polymorph of the same formula = 0 meV per atom

Unit cell a=3.931 b=3.931 c=13.669 alpha=90.00 beta=90.00 gamma=90.00
Positions (direct):
Cd  0.000  0.000  0.000
Cd  0.000  0.000  0.221
Cd  0.000  0.000  0.779
Cd  0.500  0.500  0.111
Cd  0.500  0.500  0.889
Pb  0.000  0.000  0.500
Pb  0.500  0.500  0.350
Pb  0.500  0.500  0.650


Record 3
First-principles (GGA-PBE) data for an optimized crystal structure of Cd2Pb, as listed in Alexandria.

Calculated values
symmetry = P-3m1 (164)
mass density = 8990 kg/m3
DFT formation energy = 48.0 meV/atom
DFT total energy = -1.80 eV per atom
total magnetic moment = 0.00 μB per formula unit

Unit cell a=3.530 b=3.530 c=7.392 alpha=90.00 beta=90.00 gamma=120.00
Positions (direct):
Cd  0.333  0.667  0.347
Cd  0.667  0.333  0.653
Pb  0.000  0.000  0.000


Record 4
First-principles (GGA-PBE) data for an optimized crystal structure of CdPb, as listed in Alexandria.

Calculated values
symmetry = Fm-3m (225)
mass density = 8873 kg/m3
DFT formation energy = 158.4 meV/atom
DFT total energy = -2.15 eV per atom
total magnetic moment = 0.00 μB per formula unit

Unit cell a=4.390 b=4.390 c=4.390 alpha=60.00 beta=60.00 gamma=60.00
Positions (direct):
Cd  0.000  0.000  0.000
Pb  0.500  0.500  0.500


Question: Which value of DFT total energy does entry 2 give?
Answer: -1.93 eV per atom


Question: Number 1 is which compound?
Answer: Cd3Pb4


Question: What is the mass density in the fourth record?
Answer: 8873 kg/m3